Na12Bi5Pb2 after structural relaxation, computed with PBE.

For the formation energy, the calculation gives -180 meV per atom. Its density is 4.42 g/cm³.

Lattice parameters (Å, degrees): 17.8971 6.7059 12.0206 90.00 115.26 90.00
Space group C2/m (No. 12)
One atom of each set of equivalent atoms:
Na 0.0050 0.0000 0.1391 x4
Na 0.0555 0.5000 0.2873 x4
Na 0.1659 0.2684 0.0311 x8
Na 0.2295 0.2483 0.6407 x8
Bi 0.0000 0.5000 0.0000 x2
Bi 0.1313 0.0000 0.4013 x4
Bi 0.1513 0.0000 0.7918 x4
Pb 0.0000 0.2272 0.5000 x4